Below is an optimized crystal structure of LiAl2Te, with properties calculated at the GGA-PBE level.

Properties
Density in g/cm³: 3.40
Crystal system: tetragonal
SG: I-42d, No. 122
Formation energy without anion corrections in meV/atom: -68

Cell lengths 8.150, 8.150, 6.395 Å; angles 50.41, 50.41, 90.00 degrees
Fractional positions:
Te (0.000, 0.000, 0.000)
Te (0.750, 0.250, 0.500)
Al (0.641, 0.125, 0.250)
Al (0.109, 0.625, 0.250)
Al (0.375, 0.359, 0.750)
Al (0.875, 0.891, 0.750)
Li (0.500, 0.500, 0.000)
Li (0.250, 0.750, 0.500)